DFT (PBE-GGA) results for crystalline Pa3Ga2Ir3 at its relaxed geometry.

Cell and atoms, written as CIF:
```
data_Pa3Ga2Ir3
_chemical_formula_sum 'Pa6 Ga4 Ir6'
_space_group_name_H-M_alt 'I m m m'
_space_group_IT_number 71
_space_group_name_Hall '-I 2 2'
_cell_length_a 4.0178
_cell_length_b 4.2774
_cell_length_c 17.9474
_cell_angle_alpha 90.00
_cell_angle_beta 90.00
_cell_angle_gamma 90.00
loop_
_atom_site_label
_atom_site_type_symbol
_atom_site_fract_x
_atom_site_fract_y
_atom_site_fract_z
Pa1 Pa 0.0000 0.0000 0.0000
Pa2 Pa 0.0000 0.5000 0.1200
Ga1 Ga 0.0000 0.0000 0.2500
Ir1 Ir 0.0000 0.0000 0.5000
Ir2 Ir 0.0000 0.5000 0.3464
```

Properties
E, eV per atom: -8.153
Formation energy from the elements, eV per atom: -0.512
Calculated volume, A^3/atom: 19.28